The following is a DFT calculation (PBE-GGA) of a geometry-optimized BaCo4Se structure. Values from VASP.

```
&SYSTEM
  ibrav = 0, nat = 6, ntyp = 3
/
ATOMIC_SPECIES
Ba 137.33 Ba.upf
Co 58.93 Co.upf
Se 78.96 Se.upf
CELL_PARAMETERS angstrom
0.000 3.715 3.715
3.715 0.000 3.715
3.715 3.715 0.000
ATOMIC_POSITIONS crystal
Ba 0.000 0.000 0.000
Co 0.132 0.623 0.623
Co 0.623 0.132 0.623
Co 0.623 0.623 0.132
Co 0.623 0.623 0.623
Se 0.250 0.250 0.250
```

Output
The density of states at the Fermi level comes out at 1.502 states/eV per atom. For the energy relative to the elements, uncorrected, the calculation gives 0.46 eV per atom. The calculation puts the raw total energy at -5.18 eV per atom.

The following is a DFT calculation (PBE-GGA) of a geometry-optimized Ba2CoSe structure. Values from VASP.

```
&SYSTEM
  ibrav = 0, nat = 4, ntyp = 3
/
ATOMIC_SPECIES
Ba 137.33 Ba.upf
Co 58.93 Co.upf
Se 78.96 Se.upf
CELL_PARAMETERS angstrom
-2.290 2.290 6.290
2.290 -2.290 6.290
2.290 2.290 -6.290
ATOMIC_POSITIONS crystal
Ba 0.000 0.000 0.000
Ba 0.750 0.250 0.500
Co 0.250 0.750 0.500
Se 0.500 0.500 0.000
```

Output
The density of states at the Fermi level comes out at 0.705 states/eV per atom. For the energy relative to the elements, uncorrected, the calculation gives -0.31 eV per atom. The calculation puts the raw total energy at -3.92 eV per atom.

The following is a DFT calculation (PBE-GGA) of a geometry-optimized BaCo2Se structure. Values from VASP.

```
&SYSTEM
  ibrav = 0, nat = 4, ntyp = 3
/
ATOMIC_SPECIES
Ba 137.33 Ba.upf
Co 58.93 Co.upf
Se 78.96 Se.upf
CELL_PARAMETERS angstrom
3.628 0.000 0.000
0.000 3.628 0.000
0.000 0.000 6.556
ATOMIC_POSITIONS crystal
Ba 0.000 0.000 0.000
Co 0.500 0.500 0.337
Co 0.500 0.500 0.663
Se 0.000 0.000 0.500
```

Output
The density of states at the Fermi level comes out at 1.495 states/eV per atom. For the energy relative to the elements, uncorrected, the calculation gives 0.44 eV per atom. The calculation puts the raw total energy at -4.46 eV per atom.

The following is a DFT calculation (PBE-GGA) of a geometry-optimized BaCoSe3 structure. Values from VASP.

```
&SYSTEM
  ibrav = 0, nat = 5, ntyp = 3
/
ATOMIC_SPECIES
Ba 137.33 Ba.upf
Co 58.93 Co.upf
Se 78.96 Se.upf
CELL_PARAMETERS angstrom
6.003 0.000 0.000
0.000 6.003 0.000
0.000 0.000 6.003
ATOMIC_POSITIONS crystal
Ba 0.000 0.000 0.000
Co 0.500 0.500 0.500
Se 0.000 0.000 0.500
Se 0.000 0.500 0.000
Se 0.500 0.000 0.000
```

Output
As for the energy above the most stable polymorph in this dataset: 807 kJ/mol of formula units. The density of states at the Fermi level comes out at 4.533 states/eV per atom. For the energy relative to the elements, uncorrected, the calculation gives 0.97 eV per atom. The calculation puts the raw total energy at -2.93 eV per atom.

The following is a DFT calculation (PBE-GGA) of a geometry-optimized Ba3Co5Se12 structure. Values from VASP.

```
&SYSTEM
  ibrav = 0, nat = 80, ntyp = 3
/
ATOMIC_SPECIES
Ba 137.33 Ba.upf
Co 58.93 Co.upf
Se 78.96 Se.upf
CELL_PARAMETERS angstrom
-7.926 7.926 7.926
7.926 -7.926 7.926
7.926 7.926 -7.926
ATOMIC_POSITIONS crystal
Ba 0.125 0.250 0.375
Ba 0.125 0.375 0.750
Ba 0.250 0.375 0.125
Ba 0.250 0.875 0.625
Ba 0.375 0.125 0.250
Ba 0.375 0.750 0.125
Ba 0.625 0.250 0.875
Ba 0.625 0.875 0.750
Ba 0.750 0.125 0.375
Ba 0.750 0.625 0.875
Ba 0.875 0.625 0.250
Ba 0.875 0.750 0.625
Co 0.000 0.000 0.000
Co 0.000 0.000 0.500
Co 0.000 0.500 0.000
Co 0.000 0.500 0.500
Co 0.125 0.750 0.875
Co 0.125 0.875 0.250
Co 0.250 0.125 0.875
Co 0.250 0.625 0.375
Co 0.375 0.250 0.625
Co 0.375 0.625 0.750
Co 0.500 0.000 0.000
Co 0.500 0.000 0.500
Co 0.500 0.500 0.000
Co 0.500 0.500 0.500
Co 0.625 0.375 0.250
Co 0.625 0.750 0.375
Co 0.750 0.375 0.625
Co 0.750 0.875 0.125
Co 0.875 0.125 0.750
Co 0.875 0.250 0.125
Se 0.005 0.190 0.097
Se 0.005 0.315 0.908
Se 0.092 0.597 0.407
Se 0.092 0.995 0.685
Se 0.093 0.690 0.685
Se 0.093 0.903 0.408
Se 0.097 0.005 0.190
Se 0.097 0.592 0.907
Se 0.185 0.190 0.593
Se 0.185 0.495 0.592
Se 0.190 0.097 0.005
Se 0.190 0.593 0.185
Se 0.310 0.315 0.907
Se 0.310 0.495 0.403
Se 0.315 0.907 0.310
Se 0.315 0.908 0.005
Se 0.403 0.310 0.495
Se 0.403 0.593 0.908
Se 0.407 0.092 0.597
Se 0.407 0.815 0.810
Se 0.408 0.093 0.903
Se 0.408 0.815 0.505
Se 0.495 0.403 0.310
Se 0.495 0.592 0.185
Se 0.505 0.408 0.815
Se 0.505 0.597 0.690
Se 0.592 0.185 0.495
Se 0.592 0.907 0.097
Se 0.593 0.185 0.190
Se 0.593 0.908 0.403
Se 0.597 0.407 0.092
Se 0.597 0.690 0.505
Se 0.685 0.092 0.995
Se 0.685 0.093 0.690
Se 0.690 0.505 0.597
Se 0.690 0.685 0.093
Se 0.810 0.407 0.815
Se 0.810 0.903 0.995
Se 0.815 0.505 0.408
Se 0.815 0.810 0.407
Se 0.903 0.408 0.093
Se 0.903 0.995 0.810
Se 0.907 0.097 0.592
Se 0.907 0.310 0.315
Se 0.908 0.005 0.315
Se 0.908 0.403 0.593
Se 0.995 0.685 0.092
Se 0.995 0.810 0.903
```

Output
The density of states at the Fermi level comes out at 0.981 states/eV per atom. For the energy relative to the elements, uncorrected, the calculation gives -0.55 eV per atom. The calculation puts the raw total energy at -4.71 eV per atom.

The following is a DFT calculation (PBE-GGA) of a geometry-optimized BaCo2Se structure. Values from VASP.

```
&SYSTEM
  ibrav = 0, nat = 4, ntyp = 3
/
ATOMIC_SPECIES
Ba 137.33 Ba.upf
Co 58.93 Co.upf
Se 78.96 Se.upf
CELL_PARAMETERS angstrom
-2.099 2.995 3.623
2.099 -2.995 3.623
2.099 2.995 -3.623
ATOMIC_POSITIONS crystal
Ba 0.000 0.000 0.000
Co 0.343 0.843 0.500
Co 0.657 0.157 0.500
Se 0.500 0.500 0.000
```

Output
The density of states at the Fermi level comes out at 1.420 states/eV per atom. For the energy relative to the elements, uncorrected, the calculation gives 0.28 eV per atom. The calculation puts the raw total energy at -4.63 eV per atom.